1.
Computed, not measured: an optimized crystal structure of DyZrAsO at the PBE-GGA level of DFT.

Unit cell a=3.956 b=7.521 c=5.777 alpha=90.00 beta=90.00 gamma=90.00
Space group Pmc2_1 (No. 26)
Symmetry-distinct sites (fractional):
Dy1 0.000 0.222 0.000 x2
Zr1 0.500 0.393 0.545 x2
As1 0.000 0.157 0.495 x2
O1 0.500 0.340 0.916 x2

Output
total DFT energy (no corrections) = -7.442 eV per atom

***

2.
Computed, not measured: an optimized crystal structure of DyZrAsO at the PBE-GGA level of DFT.

Unit cell a=4.138 b=7.594 c=5.108 alpha=90.00 beta=90.00 gamma=90.00
Space group Pmc2_1 (No. 26)
Symmetry-distinct sites (fractional):
Dy1 0.000 0.142 0.000 x2
Zr1 0.500 0.245 0.500 x2
As1 0.500 0.389 0.001 x2
O1 0.000 0.162 0.501 x2

Output
total DFT energy (no corrections) = -7.443 eV per atom

***

3.
Computed, not measured: an optimized crystal structure of DyZrAsO at the PBE-GGA level of DFT.

Unit cell a=4.034 b=4.034 c=8.697 alpha=90.00 beta=90.00 gamma=90.00
Space group P4/nmm (No. 129, origin choice 2)
Symmetry-distinct sites (fractional):
Dy1 0.250 0.750 0.000 x2
Zr1 0.250 0.250 0.379 x2
As1 0.250 0.250 0.765 x2
O1 0.250 0.750 0.500 x2

Output
total DFT energy (no corrections) = -7.132 eV per atom